A plane-wave DFT calculation with PBE was carried out for a relaxed TiTeBr crystal.

Output
* formation energy from raw total energies: -914 meV/atom
* mass density: 4.8 g cm⁻³
* magnetic moment: 1.00 μB/f.u.
* relative energy among the computed polymorphs: 0.0 kJ per mole of atoms

a = 6.5412 Å, b = 3.7406 Å, c = 7.2305 Å
α = 90.00°, β = 91.50°, γ = 90.00°
With the nearest neighbours (Å) after each atom.
Space group P2_1/m (No. 11)
One atom of each set of equivalent atoms:
Ti  0.2122  0.2500  0.0069  3 Br 2.72-2.78, 3 Te 2.72-2.75
Te  0.0890  0.7500  0.2597  3 Ti 2.72-2.75
Br  0.4112  0.7500  0.8067  3 Ti 2.72-2.78